1.
Y4InCuC2 | PBE | relaxed

Lattice parameters (Å, degrees): 3.6366 3.6366 14.9586 90.00 90.00 120.00
Closest atoms and distances in Å follow each position.
Fractional coordinates of all 8 atoms:
1 C 0.3333 0.6667 0.2707  6 Y 2.48-2.51
2 Y 0.6667 0.3333 0.1789  3 C 2.51
3 In 0.0000 0.0000 0.0000  6 Y 3.40, 6 In 3.64
4 Y 0.0000 0.0000 0.6408  3 C 2.48
5 Y 0.6667 0.3333 0.8211  3 C 2.51
6 Y 0.0000 0.0000 0.3592  3 C 2.48
7 Cu 0.6667 0.3333 0.5000  6 Y 2.97
8 C 0.3333 0.6667 0.7293  6 Y 2.48-2.51

Properties
symmetry = P-6m2
M_tot = 0.002 μB per formula unit
crystal system = hexagonal
calculated total energy = -6.634 eV per atom

---

2.
K2Cu3C5N5 | PBE | relaxed

Lattice parameters (Å, degrees): 7.7104 7.8798 9.4642 114.60 90.38 90.00
Closest atoms and distances in Å follow each position.
Fractional coordinates of all 30 atoms:
1 C 0.4582 0.9528 0.7564  1 N 1.18
2 C 0.2500 0.6400 0.0000  1 N 1.18
3 Cu 0.7500 0.1242 0.0000  1 C 1.86, 2 N 1.91
4 C 0.7559 0.5616 0.4339  1 N 1.18
5 N 0.6677 0.6941 0.4610  1 C 1.18
6 C 0.9582 0.8036 0.7564  1 N 1.18
7 K 0.8994 0.8088 0.2344  1 N 2.72
8 K 0.3994 0.4256 0.2344  1 N 2.72
9 N 0.2500 0.4901 0.0000  1 C 1.18
10 N 0.1303 0.0848 0.1492  1 C 1.18
11 C 0.5418 0.0472 0.2436  1 N 1.18
12 C 0.2559 0.8723 0.4339  1 N 1.18
13 N 0.1677 0.7669 0.4610  1 C 1.18
14 C 0.2441 0.4384 0.5661  1 N 1.18
15 Cu 0.2500 0.8758 0.0000  1 C 1.86, 2 N 1.91
16 N 0.8323 0.2331 0.5390  1 C 1.18
17 N 0.6303 0.0644 0.1492  1 C 1.18
18 C 0.7441 0.1277 0.5661  1 N 1.18
19 C 0.0418 0.1964 0.2436  1 N 1.18
20 N 0.7500 0.5099 0.0000  1 C 1.18
21 N 0.8697 0.9152 0.8508  1 C 1.18
22 Cu 0.1080 0.6477 0.6018  2 C 1.86-1.87, 1 N 1.98
23 Cu 0.8920 0.3523 0.3982  2 C 1.86-1.87, 1 N 1.98
24 C 0.7500 0.3600 0.0000  1 N 1.18
25 N 0.3697 0.9356 0.8508  1 C 1.18
26 K 0.6006 0.5744 0.7656  1 N 2.72
27 N 0.3323 0.3059 0.5390  1 C 1.18
28 Cu 0.3920 0.0459 0.3982  2 C 1.86-1.87, 1 N 1.98
29 Cu 0.6080 0.9541 0.6018  2 C 1.86-1.87, 1 N 1.98
30 K 0.1006 0.1912 0.7656  1 N 2.72

Properties
symmetry = C2/c
crystal system = monoclinic
calculated total energy = -6.726 eV per atom

---

3.
La2Cu2C3 | PBE | relaxed

Lattice parameters (Å, degrees): 6.1562 6.1562 5.0091 105.57 105.57 35.47
Closest atoms and distances in Å follow each position.
Fractional coordinates of all 7 atoms:
1 Cu 0.1445 0.1445 0.3143  4 C 1.96-2.16
2 C 0.0000 0.0000 0.0000  2 Cu 1.96
3 Cu 0.8555 0.8555 0.6857  4 C 1.96-2.16
4 C 0.7361 0.7361 0.3094  3 Cu 2.01-2.16
5 La 0.6129 0.6129 0.8051  5 C 2.53-2.75
6 C 0.2639 0.2639 0.6906  3 Cu 2.01-2.16
7 La 0.3871 0.3871 0.1949  5 C 2.53-2.75

Properties
symmetry = C2/m
M_tot = 0.001 μB per formula unit
crystal system = monoclinic
calculated total energy = -6.014 eV per atom

---

4.
La2CuWC3 | PBE | relaxed

Lattice parameters (Å, degrees): 5.9426 5.9426 6.4099 120.13 120.13 35.32
Closest atoms and distances in Å follow each position.
Fractional coordinates of all 7 atoms:
1 C 0.1997 0.1997 0.2459  1 W 2.02, 2 Cu 2.16
2 Cu 0.8144 0.8144 0.4186  4 C 2.03-2.25
3 C 0.0160 0.0160 0.5144  1 W 1.95, 1 Cu 2.03
4 La 0.5654 0.5654 0.8480  4 C 2.62-2.82
5 W 0.2007 0.2007 0.5618  4 C 1.95-2.12
6 La 0.4088 0.4088 0.1616  5 C 2.64-2.88
7 C 0.7951 0.7951 0.7497  2 W 2.12, 1 Cu 2.25

Properties
symmetry = Cm
M_tot = 0.005 μB per formula unit
crystal system = monoclinic
calculated total energy = -7.754 eV per atom

---

5.
LiCu3C | PBE | relaxed

Lattice parameters (Å, degrees): 5.0860 5.0860 5.3138 90.00 90.00 120.42
Closest atoms and distances in Å follow each position.
Fractional coordinates of all 10 atoms:
1 Cu 0.9980 0.0020 0.9848  2 C 1.97-1.98
2 C 0.8345 0.1655 0.2392  6 Cu 1.97-1.98
3 Cu 0.9986 0.5021 0.9915  2 C 1.98
4 Cu 0.0014 0.4979 0.4915  2 C 1.98
5 C 0.1655 0.8345 0.7392  6 Cu 1.97-1.98
6 Cu 0.5021 0.9986 0.4915  2 C 1.98
7 Cu 0.0020 0.9980 0.4848  2 C 1.97-1.98
8 Li 0.4940 0.5060 0.2389  2 Li 2.66, 12 Cu 2.82-2.93, 2 C 2.89
9 Li 0.5060 0.4940 0.7389  2 Li 2.66, 12 Cu 2.82-2.93, 2 C 2.89
10 Cu 0.4979 0.0014 0.9915  2 C 1.98

Properties
symmetry = Cmc2_1
crystal system = orthorhombic
calculated total energy = -4.237 eV per atom

---

6.
Lu4CuC3 | PBE | relaxed

Lattice parameters (Å, degrees): 3.4937 3.4937 25.3871 90.00 90.00 120.00
Closest atoms and distances in Å follow each position.
Fractional coordinates of all 16 atoms:
1 Cu 0.3333 0.6667 0.2500  6 Lu 2.99
2 Lu 0.0000 0.0000 0.3371  3 C 2.32
3 Lu 0.0000 0.0000 0.1629  3 C 2.32
4 C 0.6667 0.3333 0.1177  6 Lu 2.32-2.55
5 Cu 0.6667 0.3333 0.7500  6 Lu 2.99
6 C 0.6667 0.3333 0.3823  6 Lu 2.32-2.55
7 Lu 0.6667 0.3333 0.5564  6 C 2.47-2.55
8 Lu 0.0000 0.0000 0.6629  3 C 2.32
9 C 0.0000 0.0000 0.0000  6 Lu 2.47
10 Lu 0.6667 0.3333 0.9436  6 C 2.47-2.55
11 Lu 0.3333 0.6667 0.4436  6 C 2.47-2.55
12 C 0.3333 0.6667 0.6177  6 Lu 2.32-2.55
13 Lu 0.3333 0.6667 0.0564  6 C 2.47-2.55
14 Lu 0.0000 0.0000 0.8371  3 C 2.32
15 C 0.3333 0.6667 0.8823  6 Lu 2.32-2.55
16 C 0.0000 0.0000 0.5000  6 Lu 2.47

Properties
symmetry = P6_3/mmc
M_tot = 0.002 μB per formula unit
crystal system = hexagonal
calculated total energy = -6.422 eV per atom

---

calculated total energy of number 2 (K2Cu3C5N5)?
-6.726 eV per atom